[1]
# AlIn2SiP, optimized geometry, DFT GGA-PBE
# formation energy without anion corrections = 594 meV per atom
data_AlIn2SiP
_cell_length_a 5.4157
_cell_length_b 5.4157
_cell_length_c 4.6131
_cell_angle_alpha 90.00
_cell_angle_beta 90.00
_cell_angle_gamma 90.00
_symmetry_space_group_name_H-M 'P 4/m m m'
_symmetry_Int_Tables_number 123
_symmetry_space_group_name_Hall '-P 4 2'
loop_
_atom_site_label
_atom_site_type_symbol
_atom_site_fract_x
_atom_site_fract_y
_atom_site_fract_z
Al1 Al 0.0000 0.0000 0.0000
In1 In 0.0000 0.5000 0.5000
Si1 Si 0.5000 0.5000 0.5000
P1 P 0.5000 0.5000 0.0000

---

[2]
# SrAlIn2P, optimized geometry, DFT GGA-PBE
# formation enthalpy at 0 K = 0.460 eV/f.u.
data_SrAlIn2P
_cell_length_a 5.4631
_cell_length_b 5.4631
_cell_length_c 4.9293
_cell_angle_alpha 90.00
_cell_angle_beta 90.00
_cell_angle_gamma 90.00
_symmetry_space_group_name_H-M 'P 4/m m m'
_symmetry_Int_Tables_number 123
_symmetry_space_group_name_Hall '-P 4 2'
loop_
_atom_site_label
_atom_site_type_symbol
_atom_site_fract_x
_atom_site_fract_y
_atom_site_fract_z
Sr1 Sr 0.0000 0.0000 0.0000
Al1 Al 0.5000 0.5000 0.0000
In1 In 0.0000 0.5000 0.5000
P1 P 0.5000 0.5000 0.5000

---

[3]
# TaAlIn2P, optimized geometry, DFT GGA-PBE
# formation enthalpy at 0 K = 6.071 eV/f.u.
data_TaAlIn2P
_cell_length_a 5.0364
_cell_length_b 5.0364
_cell_length_c 4.9486
_cell_angle_alpha 90.00
_cell_angle_beta 90.00
_cell_angle_gamma 90.00
_symmetry_space_group_name_H-M 'P 4/m m m'
_symmetry_Int_Tables_number 123
_symmetry_space_group_name_Hall '-P 4 2'
loop_
_atom_site_label
_atom_site_type_symbol
_atom_site_fract_x
_atom_site_fract_y
_atom_site_fract_z
Ta1 Ta 0.0000 0.0000 0.0000
Al1 Al 0.0000 0.0000 0.5000
In1 In 0.0000 0.5000 0.5000
P1 P 0.5000 0.5000 0.0000

---

[4]
# Ta2AlInP, optimized geometry, DFT GGA-PBE
# formation enthalpy at 0 K = 10.204 eV/f.u.
data_Ta2AlInP
_cell_length_a 5.1410
_cell_length_b 5.1410
_cell_length_c 4.5635
_cell_angle_alpha 90.00
_cell_angle_beta 90.00
_cell_angle_gamma 90.00
_symmetry_space_group_name_H-M 'P 4/m m m'
_symmetry_Int_Tables_number 123
_symmetry_space_group_name_Hall '-P 4 2'
loop_
_atom_site_label
_atom_site_type_symbol
_atom_site_fract_x
_atom_site_fract_y
_atom_site_fract_z
Ta1 Ta 0.0000 0.5000 0.0000
Al1 Al 0.0000 0.0000 0.5000
In1 In 0.0000 0.0000 0.0000
P1 P 0.5000 0.5000 0.5000

---

[5]
# PaAlIn2, optimized geometry, DFT GGA-PBE
# formation enthalpy at 0 K = -0.500 eV/f.u.
data_PaAlIn2
_cell_length_a 4.4770
_cell_length_b 4.4770
_cell_length_c 4.6645
_cell_angle_alpha 90.00
_cell_angle_beta 90.00
_cell_angle_gamma 90.00
_symmetry_space_group_name_H-M 'P 4/m m m'
_symmetry_Int_Tables_number 123
_symmetry_space_group_name_Hall '-P 4 2'
loop_
_atom_site_label
_atom_site_type_symbol
_atom_site_fract_x
_atom_site_fract_y
_atom_site_fract_z
Pa1 Pa 0.0000 0.0000 0.0000
Al1 Al 0.5000 0.5000 0.0000
In1 In 0.0000 0.5000 0.5000

---

[6]
# PaAlIn, optimized geometry, DFT GGA-PBE
# formation enthalpy at 0 K = 0.076 eV/f.u.
data_PaAlIn
_cell_length_a 3.2086
_cell_length_b 3.2086
_cell_length_c 13.1310
_cell_angle_alpha 90.00
_cell_angle_beta 90.00
_cell_angle_gamma 90.00
_symmetry_space_group_name_H-M 'I 4 m m'
_symmetry_Int_Tables_number 107
_symmetry_space_group_name_Hall 'I 4 -2'
loop_
_atom_site_label
_atom_site_type_symbol
_atom_site_fract_x
_atom_site_fract_y
_atom_site_fract_z
Pa1 Pa 0.0000 0.0000 0.0000
Al1 Al 0.0000 0.0000 0.6586
In1 In 0.0000 0.0000 0.3127

---

Number 1: electronic total energy -3.4167 eV/atom, density of states at the Fermi level 3.15 states/eV/f.u.. Number 2: electronic total energy -3.1701 eV/atom, density of states at the Fermi level 2.81 states/eV/f.u.. Number 3: electronic total energy -4.0822 eV/atom, density of states at the Fermi level 4.37 states/eV/f.u.. Number 4: electronic total energy -5.0784 eV/atom, density of states at the Fermi level 6.82 states/eV/f.u.. Number 5: electronic total energy -4.8038 eV/atom, density of states at the Fermi level 5.34 states/eV/f.u.. Number 6: electronic total energy -5.3004 eV/atom, density of states at the Fermi level 4.28 states/eV/f.u..